# 1
Crystalline Sb2Rh at its relaxed geometry, computed with GGA-PBEsol.

abc: 6.6109 6.5564 6.6914
angles: 90.00 116.63 90.00
Last column: nearest neighbours and their distance in Å.
Fractional coordinates of all 12 atoms:
Sb 0.1503 0.1375 0.3740  3 Rh 2.65-2.67, 1 Sb 2.86
Sb 0.1503 0.3625 0.8740  3 Rh 2.65-2.67, 1 Sb 2.86
Sb 0.3446 0.6392 0.6765  3 Rh 2.59-2.60, 1 Sb 2.86
Sb 0.3446 0.8608 0.1765  3 Rh 2.59-2.60, 1 Sb 2.86
Sb 0.6554 0.1392 0.8235  3 Rh 2.59-2.60, 1 Sb 2.86
Sb 0.6554 0.3608 0.3235  3 Rh 2.59-2.60, 1 Sb 2.86
Sb 0.8497 0.6375 0.1260  3 Rh 2.65-2.67, 1 Sb 2.86
Sb 0.8497 0.8625 0.6260  3 Rh 2.65-2.67, 1 Sb 2.86
Rh 0.2723 0.0009 0.7887  6 Sb 2.59-2.67
Rh 0.2723 0.4991 0.2887  6 Sb 2.59-2.67
Rh 0.7277 0.5009 0.7113  6 Sb 2.59-2.67
Rh 0.7277 0.9991 0.2113  6 Sb 2.59-2.67

Output
Formation energy without anion corrections in eV/atom: -0.49
Crystal system: monoclinic

***

# 2
Crystalline AgWSe at its relaxed geometry, computed with GGA-PBEsol.

abc: 6.4582 6.4582 6.4582
angles: 153.32 153.32 38.09
Last column: nearest neighbours and their distance in Å.
Fractional coordinates of all 3 atoms:
Ag 0.0000 0.0000 0.0000  4 W 2.86, 4 Ag 2.98
W 0.3418 0.3418 0.0000  4 Se 2.58, 4 Ag 2.86
Se 0.7201 0.7201 0.0000  4 W 2.58

Output
Formation energy without anion corrections in eV/atom: 0.36
Crystal system: tetragonal

***

# 3
Crystalline KBaN3 at its relaxed geometry, computed with GGA-PBEsol.

abc: 5.1381 5.1381 5.1381
angles: 90.00 90.00 90.00
Last column: nearest neighbours and their distance in Å.
Fractional coordinates of all 5 atoms:
K 0.0000 0.0000 0.0000  12 N 3.63
Ba 0.5000 0.5000 0.5000  6 N 2.57
N 0.0000 0.5000 0.5000  2 Ba 2.57
N 0.5000 0.0000 0.5000  2 Ba 2.57
N 0.5000 0.5000 0.0000  2 Ba 2.57

Output
Formation energy without anion corrections in eV/atom: 1.59
Crystal system: cubic

***

# 4
Crystalline InSbSe3 at its relaxed geometry, computed with GGA-PBEsol.

abc: 9.7695 4.0071 13.4555
angles: 90.00 90.00 90.00
Last column: nearest neighbours and their distance in Å.
Fractional coordinates of all 20 atoms:
In 0.1527 0.2500 0.0442  6 Se 2.68-2.89
In 0.3473 0.7500 0.5442  6 Se 2.68-2.89
In 0.6527 0.2500 0.4558  6 Se 2.68-2.89
In 0.8473 0.7500 0.9558  6 Se 2.68-2.89
Sb 0.0248 0.2500 0.6442  3 Se 2.68-2.73
Sb 0.4752 0.7500 0.1442  3 Se 2.68-2.73
Sb 0.5248 0.2500 0.8558  3 Se 2.68-2.73
Sb 0.9752 0.7500 0.3558  3 Se 2.68-2.73
Se 0.0006 0.7500 0.1214  3 In 2.68-2.70
Se 0.1594 0.2500 0.4706  1 Sb 2.68, 2 In 2.89
Se 0.1914 0.7500 0.7099  1 In 2.70, 2 Sb 2.73
Se 0.3086 0.2500 0.2099  1 In 2.70, 2 Sb 2.73
Se 0.3406 0.7500 0.9706  1 Sb 2.68, 2 In 2.89
Se 0.4994 0.2500 0.6214  3 In 2.68-2.70
Se 0.5006 0.7500 0.3786  3 In 2.68-2.70
Se 0.6594 0.2500 0.0294  1 Sb 2.68, 2 In 2.89
Se 0.6914 0.7500 0.7901  1 In 2.70, 2 Sb 2.73
Se 0.8086 0.2500 0.2901  1 In 2.70, 2 Sb 2.73
Se 0.8406 0.7500 0.5294  1 Sb 2.68, 2 In 2.89
Se 0.9994 0.2500 0.8786  3 In 2.68-2.70

Output
Formation energy without anion corrections in eV/atom: -0.38
Crystal system: orthorhombic

***

# 5
Crystalline ScAl2Cl at its relaxed geometry, computed with GGA-PBEsol.

abc: 4.8918 4.8918 4.8918
angles: 60.00 60.00 60.00
Last column: nearest neighbours and their distance in Å.
Fractional coordinates of all 4 atoms:
Sc 0.0000 0.0000 0.0000  8 Al 3.00
Al 0.2500 0.2500 0.2500  4 Cl 3.00, 4 Sc 3.00
Al 0.7500 0.7500 0.7500  4 Cl 3.00, 4 Sc 3.00
Cl 0.5000 0.5000 0.5000  8 Al 3.00

Output
Formation energy without anion corrections in eV/atom: 0.21
Crystal system: cubic

***

# 6
Crystalline NdGaCo4 at its relaxed geometry, computed with GGA-PBEsol.

abc: 5.0534 5.0534 3.8105
angles: 90.00 90.00 120.00
Last column: nearest neighbours and their distance in Å.
Fractional coordinates of all 6 atoms:
Nd 0.0000 0.0000 0.0000  3 Ga 2.92, 15 Co 2.92-3.16
Ga 0.6667 0.3333 0.0000  6 Co 2.43
Co 0.0097 0.5048 0.5000  6 Co 2.37-2.60, 2 Ga 2.43
Co 0.3333 0.6667 0.0000  6 Co 2.37
Co 0.4952 0.5048 0.5000  6 Co 2.37-2.60, 2 Ga 2.43
Co 0.4952 0.9903 0.5000  6 Co 2.37-2.60, 2 Ga 2.43

Output
Total energy in eV per atom: -6.764
Crystal system: hexagonal

***

# 7
Crystalline CaSe2BrCl at its relaxed geometry, computed with GGA-PBEsol.

abc: 5.7281 5.7281 5.3361
angles: 90.00 90.00 90.00
Last column: nearest neighbours and their distance in Å.
Fractional coordinates of all 5 atoms:
Ca 0.0000 0.0000 0.0000  2 Br 2.67, 4 Se 2.86
Se 0.0000 0.5000 0.0000  2 Ca 2.86
Se 0.5000 0.0000 0.0000  2 Ca 2.86
Br 0.0000 0.0000 0.5000  2 Ca 2.67
Cl 0.5000 0.5000 0.5000  8 Se 3.91, 4 Br 4.05

Output
Formation energy without anion corrections in eV/atom: -0.08
Crystal system: tetragonal

***

# 8
Crystalline Mn2PSe at its relaxed geometry, computed with GGA-PBEsol.

abc: 2.8364 2.8364 5.7582
angles: 90.00 90.00 90.00
Last column: nearest neighbours and their distance in Å.
Fractional coordinates of all 4 atoms:
Mn 0.0000 0.0000 0.2268  4 P 2.39, 4 Se 2.55, 1 Mn 2.61
Mn 0.0000 0.0000 0.7732  4 P 2.39, 4 Se 2.55, 1 Mn 2.61
P 0.5000 0.5000 0.0000  8 Mn 2.39
Se 0.5000 0.5000 0.5000  8 Mn 2.55, 4 Se 2.84

Output
Formation energy without anion corrections in eV/atom: -0.11
Crystal system: tetragonal

***

# 9
Crystalline FeNi6Mo at its relaxed geometry, computed with GGA-PBEsol.

abc: 6.1236 6.1236 10.0021
angles: 90.00 90.00 109.43
Last column: nearest neighbours and their distance in Å.
Fractional coordinates of all 32 atoms:
Fe 0.0000 0.0000 0.2454  12 Ni 2.45-2.55
Fe 0.0000 0.0000 0.7546  12 Ni 2.45-2.55
Fe 0.2519 0.7481 0.0000  12 Ni 2.48-2.52
Fe 0.7481 0.2519 0.0000  12 Ni 2.48-2.52
Ni 0.0000 0.0000 0.0000  4 Fe 2.45-2.52, 8 Ni 2.49
Ni 0.0000 0.0000 0.5000  8 Ni 2.50, 2 Mo 2.53, 2 Fe 2.55
Ni 0.1230 0.3734 0.1238  3 Fe 2.48-2.49, 8 Ni 2.48-2.51, 1 Mo 2.49
Ni 0.1230 0.3734 0.8762  3 Fe 2.48-2.49, 8 Ni 2.48-2.51, 1 Mo 2.49
Ni 0.1238 0.3729 0.3740  8 Ni 2.49-2.52, 3 Mo 2.50-2.53, 1 Fe 2.51
Ni 0.1238 0.3729 0.6260  8 Ni 2.49-2.52, 3 Mo 2.50-2.53, 1 Fe 2.51
Ni 0.2495 0.7505 0.2490  8 Ni 2.49-2.51, 2 Fe 2.49-2.50, 2 Mo 2.50-2.51
Ni 0.2495 0.7505 0.7510  8 Ni 2.49-2.51, 2 Fe 2.49-2.50, 2 Mo 2.50-2.51
Ni 0.3734 0.1230 0.1238  3 Fe 2.48-2.49, 8 Ni 2.48-2.51, 1 Mo 2.49
Ni 0.3734 0.1230 0.8762  3 Fe 2.48-2.49, 8 Ni 2.48-2.51, 1 Mo 2.49
Ni 0.3729 0.1238 0.3740  8 Ni 2.49-2.52, 3 Mo 2.50-2.53, 1 Fe 2.51
Ni 0.3729 0.1238 0.6260  8 Ni 2.49-2.52, 3 Mo 2.50-2.53, 1 Fe 2.51
Ni 0.5000 0.5000 0.0000  2 Mo 2.45, 2 Fe 2.48, 8 Ni 2.50
Ni 0.5000 0.5000 0.5000  4 Mo 2.47-2.55, 8 Ni 2.51
Ni 0.6271 0.8762 0.3740  8 Ni 2.49-2.52, 3 Mo 2.50-2.53, 1 Fe 2.51
Ni 0.6271 0.8762 0.6260  8 Ni 2.49-2.52, 3 Mo 2.50-2.53, 1 Fe 2.51
Ni 0.6266 0.8770 0.1238  3 Fe 2.48-2.49, 8 Ni 2.48-2.51, 1 Mo 2.49
Ni 0.6266 0.8770 0.8762  3 Fe 2.48-2.49, 8 Ni 2.48-2.51, 1 Mo 2.49
Ni 0.7505 0.2495 0.2490  8 Ni 2.49-2.51, 2 Fe 2.49-2.50, 2 Mo 2.50-2.51
Ni 0.7505 0.2495 0.7510  8 Ni 2.49-2.51, 2 Fe 2.49-2.50, 2 Mo 2.50-2.51
Ni 0.8762 0.6271 0.3740  8 Ni 2.49-2.52, 3 Mo 2.50-2.53, 1 Fe 2.51
Ni 0.8762 0.6271 0.6260  8 Ni 2.49-2.52, 3 Mo 2.50-2.53, 1 Fe 2.51
Ni 0.8770 0.6266 0.1238  3 Fe 2.48-2.49, 8 Ni 2.48-2.51, 1 Mo 2.49
Ni 0.8770 0.6266 0.8762  3 Fe 2.48-2.49, 8 Ni 2.48-2.51, 1 Mo 2.49
Mo 0.2533 0.7467 0.5000  12 Ni 2.47-2.53
Mo 0.5000 0.5000 0.2446  12 Ni 2.45-2.55
Mo 0.5000 0.5000 0.7554  12 Ni 2.45-2.55
Mo 0.7467 0.2533 0.5000  12 Ni 2.47-2.53

Output
Total energy in eV per atom: -7.231
Crystal system: orthorhombic

***

# 10
Crystalline K5Pb at its relaxed geometry, computed with GGA-PBEsol.

abc: 7.6019 7.6019 10.9411
angles: 111.38 111.38 33.91
Last column: nearest neighbours and their distance in Å.
Fractional coordinates of all 6 atoms:
K 0.0000 0.0000 0.0000  12 K 4.40-4.66
K 0.3434 0.3434 0.2289  2 Pb 3.71, 1 K 3.96
K 0.3620 0.3620 0.6272  2 Pb 3.61, 1 K 3.96
K 0.6380 0.6380 0.3728  2 Pb 3.61, 1 K 3.96
K 0.6566 0.6566 0.7711  2 Pb 3.71, 1 K 3.96
Pb 0.0000 0.0000 0.5000  8 K 3.61-3.71

Output
Total energy in eV per atom: -1.631
Crystal system: monoclinic

***

# 11
Crystalline KCd2Sn2 at its relaxed geometry, computed with GGA-PBEsol.

abc: 6.9773 6.9773 6.9773
angles: 139.76 139.76 58.22
Last column: nearest neighbours and their distance in Å.
Fractional coordinates of all 5 atoms:
K 0.0000 0.0000 0.0000  8 Sn 3.68, 8 Cd 3.88
Cd 0.2500 0.7500 0.5000  4 Sn 2.90
Cd 0.7500 0.2500 0.5000  4 Sn 2.90
Sn 0.3837 0.3837 0.0000  1 Sn 2.84, 4 Cd 2.90
Sn 0.6163 0.6163 0.0000  1 Sn 2.84, 4 Cd 2.90

Output
Total energy in eV per atom: -2.573
Crystal system: tetragonal

***

# 12
Crystalline SrDy2O4 at its relaxed geometry, computed with GGA-PBEsol.

abc: 9.9706 3.3959 11.8340
angles: 90.00 90.00 90.00
Last column: nearest neighbours and their distance in Å.
Fractional coordinates of all 28 atoms:
Sr 0.2487 0.2500 0.1497  8 O 2.60-2.85
Sr 0.2513 0.7500 0.6497  8 O 2.60-2.85
Sr 0.7487 0.2500 0.3503  8 O 2.60-2.85
Sr 0.7513 0.7500 0.8503  8 O 2.60-2.85
Dy 0.0756 0.2500 0.8887  6 O 2.20-2.35
Dy 0.0801 0.2500 0.3888  6 O 2.24-2.31
Dy 0.4199 0.7500 0.8888  6 O 2.24-2.31
Dy 0.4244 0.7500 0.3887  6 O 2.20-2.35
Dy 0.5756 0.2500 0.6113  6 O 2.20-2.35
Dy 0.5801 0.2500 0.1112  6 O 2.24-2.31
Dy 0.9199 0.7500 0.6112  6 O 2.24-2.31
Dy 0.9244 0.7500 0.1113  6 O 2.20-2.35
O 0.0129 0.7500 0.7832  3 Dy 2.20-2.24
O 0.0728 0.2500 0.5785  3 Dy 2.25-2.31
O 0.1274 0.7500 0.0188  3 Dy 2.30-2.35
O 0.2128 0.7500 0.3238  3 Dy 2.25-2.29
O 0.2872 0.2500 0.8238  3 Dy 2.25-2.29
O 0.3726 0.2500 0.5188  3 Dy 2.30-2.35
O 0.4272 0.7500 0.0785  3 Dy 2.25-2.31
O 0.4871 0.2500 0.2832  3 Dy 2.20-2.24
O 0.5129 0.7500 0.7168  3 Dy 2.20-2.24
O 0.5728 0.2500 0.9215  3 Dy 2.25-2.31
O 0.6274 0.7500 0.4812  3 Dy 2.30-2.35
O 0.7128 0.7500 0.1762  3 Dy 2.25-2.29
O 0.7872 0.2500 0.6762  3 Dy 2.25-2.29
O 0.8726 0.2500 0.9812  3 Dy 2.30-2.35
O 0.9272 0.7500 0.4215  3 Dy 2.25-2.31
O 0.9871 0.2500 0.2168  3 Dy 2.20-2.24

Output
Formation energy without anion corrections in eV/atom: -3.40
Crystal system: orthorhombic

***

> Number 1 is which compound?

Sb2Rh